#P
The following is a DFT calculation (PBE) of NdAs2Pd6 after structural relaxation.

Computed properties:
The value obtained for the total magnetization is 0.00 μB per cell.

Geometry as CIF:
```
data_NdAs2Pd6
_chemical_formula_sum 'Nd1 As2 Pd6'
_cell_length_a 5.6461
_cell_length_b 5.6461
_cell_length_c 6.5605
_cell_angle_alpha 90.00
_cell_angle_beta 90.00
_cell_angle_gamma 120.00
_symmetry_space_group_name_H-M 'P 6/m m m'
_symmetry_Int_Tables_number 191
_symmetry_space_group_name_Hall '-P 6 2'
loop_
_atom_site_label
_atom_site_type_symbol
_atom_site_fract_x
_atom_site_fract_y
_atom_site_fract_z
Nd1 Nd 0.0000 0.0000 0.0000
As1 As 0.3333 0.6667 0.5000
Pd1 Pd 0.0000 0.5000 0.2116
```



#Q
The following is a DFT calculation (PBE) of NdAs2Pd6 after structural relaxation.

Computed properties:
The value obtained for the total magnetization is 0.00 μB per cell.

Geometry as CIF:
```
data_NdAs2Pd6
_chemical_formula_sum 'Nd1 As2 Pd6'
_cell_length_a 4.236
_cell_length_b 4.236
_cell_length_c 8.814
_cell_angle_alpha 90.00
_cell_angle_beta 90.00
_cell_angle_gamma 90.00
_symmetry_space_group_name_H-M 'P 4/m m m'
_symmetry_Int_Tables_number 123
_symmetry_space_group_name_Hall '-P 4 2'
loop_
_atom_site_label
_atom_site_type_symbol
_atom_site_fract_x
_atom_site_fract_y
_atom_site_fract_z
Nd1 Nd 0.000 0.000 0.000
As1 As 0.500 0.500 0.143
Pd1 Pd 0.000 0.000 0.500
Pd2 Pd 0.000 0.500 0.288
Pd3 Pd 0.500 0.500 0.500
```



It comes down to #Q, which is 0.088 eV/atom more stable than the next structure.



#P
The following is a DFT calculation (PBE) of NdAs2Pd3 after structural relaxation.

Computed properties:
The value obtained for the total magnetization is 0.00 μB per cell.

Geometry as CIF:
```
data_NdAs2Pd3
_chemical_formula_sum 'Nd2 As4 Pd6'
_cell_length_a 4.623
_cell_length_b 10.380
_cell_length_c 4.905
_cell_angle_alpha 90.00
_cell_angle_beta 90.00
_cell_angle_gamma 90.00
_symmetry_space_group_name_H-M 'P m m n'
_symmetry_Int_Tables_number 59
loop_
_symmetry_equiv_pos_as_xyz
'x,y,z'
'-x,-y,-z'
'-x+1/2,-y+1/2,z'
'x+1/2,y+1/2,-z'
'x+1/2,-y,-z'
'-x+1/2,y,z'
'-x,y+1/2,-z'
'x,-y+1/2,z'
loop_
_atom_site_label
_atom_site_type_symbol
_atom_site_fract_x
_atom_site_fract_y
_atom_site_fract_z
Nd1 Nd 0.250 0.250 0.113
As1 As 0.250 0.572 0.162
Pd1 Pd 0.250 0.013 0.665
Pd2 Pd 0.250 0.750 0.486
```



#Q
The following is a DFT calculation (PBE) of NdAs2Pd3 after structural relaxation.

Computed properties:
The value obtained for the total magnetization is 0.00 μB per cell.

Geometry as CIF:
```
data_NdAs2Pd3
_chemical_formula_sum 'Nd6 As12 Pd18'
_cell_length_a 16.786
_cell_length_b 4.151
_cell_length_c 10.106
_cell_angle_alpha 90.00
_cell_angle_beta 107.86
_cell_angle_gamma 90.00
_symmetry_space_group_name_H-M 'C 1 2/m 1'
_symmetry_Int_Tables_number 12
_symmetry_space_group_name_Hall '-C 2y'
loop_
_atom_site_label
_atom_site_type_symbol
_atom_site_fract_x
_atom_site_fract_y
_atom_site_fract_z
Nd1 Nd 0.000 0.000 0.000
Nd2 Nd 0.154 0.000 0.699
As1 As 0.038 0.500 0.787
As2 As 0.137 0.500 0.454
As3 As 0.200 0.000 0.131
Pd1 Pd 0.000 0.500 0.500
Pd2 Pd 0.042 0.000 0.334
Pd3 Pd 0.125 0.500 0.202
Pd4 Pd 0.179 0.500 0.967
Pd5 Pd 0.220 0.000 0.391
```



It comes down to #Q, which is 0.171 eV/atom more stable than the next structure.



#P
The following is a DFT calculation (PBE) of Nd2AsPd after structural relaxation.

Computed properties:
The value obtained for the total magnetization is 0.00 μB per cell.

Geometry as CIF:
```
data_Nd2AsPd
_chemical_formula_sum 'Nd6 As3 Pd3'
_cell_length_a 4.1696
_cell_length_b 4.1696
_cell_length_c 21.8586
_cell_angle_alpha 90.00
_cell_angle_beta 90.00
_cell_angle_gamma 120.00
_symmetry_space_group_name_H-M 'R 3 m'
_symmetry_Int_Tables_number 160
_symmetry_space_group_name_Hall 'R 3 -2"'
loop_
_atom_site_label
_atom_site_type_symbol
_atom_site_fract_x
_atom_site_fract_y
_atom_site_fract_z
Nd1 Nd 0.0000 0.0000 0.0000
Nd2 Nd 0.0000 0.0000 0.1725
As1 As 0.0000 0.0000 0.5853
Pd1 Pd 0.0000 0.0000 0.4202
```



#Q
The following is a DFT calculation (PBE) of Nd2AsPd after structural relaxation.

Computed properties:
The value obtained for the total magnetization is 3.61 μB per cell.

Geometry as CIF:
```
data_Nd2AsPd
_chemical_formula_sum 'Nd8 As4 Pd4'
_cell_length_a 7.304
_cell_length_b 7.304
_cell_length_c 7.304
_cell_angle_alpha 90.00
_cell_angle_beta 90.00
_cell_angle_gamma 90.00
_symmetry_space_group_name_H-M 'F m -3 m'
_symmetry_Int_Tables_number 225
_symmetry_space_group_name_Hall '-F 4 2 3'
loop_
_atom_site_label
_atom_site_type_symbol
_atom_site_fract_x
_atom_site_fract_y
_atom_site_fract_z
Nd1 Nd 0.250 0.250 0.250
As1 As 0.000 0.000 0.000
Pd1 Pd 0.000 0.000 0.500
```



It comes down to #P, which is 0.100 eV/atom more stable than the next structure.



#P
The following is a DFT calculation (PBE) of PmNdAs2 after structural relaxation.

Computed properties:
The value obtained for the total magnetization is 0.00 μB per cell.

Geometry as CIF:
```
data_PmNdAs2
_chemical_formula_sum 'Pm3 Nd3 As6'
_cell_length_a 4.2112
_cell_length_b 4.2112
_cell_length_c 21.7615
_cell_angle_alpha 90.00
_cell_angle_beta 90.00
_cell_angle_gamma 120.00
_symmetry_space_group_name_H-M 'R 3 m'
_symmetry_Int_Tables_number 160
_symmetry_space_group_name_Hall 'R 3 -2"'
loop_
_atom_site_label
_atom_site_type_symbol
_atom_site_fract_x
_atom_site_fract_y
_atom_site_fract_z
Pm1 Pm 0.0000 0.0000 0.0000
Nd1 Nd 0.0000 0.0000 0.8285
As1 As 0.0000 0.0000 0.2473
As2 As 0.0000 0.0000 0.4147
```



#Q
The following is a DFT calculation (PBE) of PmNdAs2 after structural relaxation.

Computed properties:
The value obtained for the total magnetization is 0.00 μB per cell.

Geometry as CIF:
```
data_PmNdAs2
_chemical_formula_sum 'Pm4 Nd4 As8'
_cell_length_a 7.352
_cell_length_b 7.352
_cell_length_c 7.352
_cell_angle_alpha 90.00
_cell_angle_beta 90.00
_cell_angle_gamma 90.00
_symmetry_space_group_name_H-M 'F m -3 m'
_symmetry_Int_Tables_number 225
_symmetry_space_group_name_Hall '-F 4 2 3'
loop_
_atom_site_label
_atom_site_type_symbol
_atom_site_fract_x
_atom_site_fract_y
_atom_site_fract_z
Pm1 Pm 0.000 0.000 0.000
Nd1 Nd 0.000 0.000 0.500
As1 As 0.250 0.250 0.250
```



It comes down to #P, which is 0.290 eV/atom more stable than the next structure.



#P
The following is a DFT calculation (PBE) of PrNd2As after structural relaxation.

Computed properties:
The value obtained for the total magnetization is 0.09 μB per cell.

Geometry as CIF:
```
data_PrNd2As
_chemical_formula_sum 'Pr3 Nd6 As3'
_cell_length_a 4.0199
_cell_length_b 4.0199
_cell_length_c 28.7936
_cell_angle_alpha 90.00
_cell_angle_beta 90.00
_cell_angle_gamma 120.00
_symmetry_space_group_name_H-M 'R 3 m'
_symmetry_Int_Tables_number 160
_symmetry_space_group_name_Hall 'R 3 -2"'
loop_
_atom_site_label
_atom_site_type_symbol
_atom_site_fract_x
_atom_site_fract_y
_atom_site_fract_z
Pr1 Pr 0.0000 0.0000 0.0000
Nd1 Nd 0.0000 0.0000 0.5617
Nd2 Nd 0.0000 0.0000 0.7715
As1 As 0.0000 0.0000 0.1664
```



#Q
The following is a DFT calculation (PBE) of PrNd2As after structural relaxation.

Computed properties:
The value obtained for the total magnetization is 0.00 μB per cell.

Geometry as CIF:
```
data_PrNd2As
_chemical_formula_sum 'Pr3 Nd6 As3'
_cell_length_a 4.0025
_cell_length_b 4.0025
_cell_length_c 29.0386
_cell_angle_alpha 90.00
_cell_angle_beta 90.00
_cell_angle_gamma 120.00
_symmetry_space_group_name_H-M 'R -3 m'
_symmetry_Int_Tables_number 166
_symmetry_space_group_name_Hall '-R 3 2"'
loop_
_atom_site_label
_atom_site_type_symbol
_atom_site_fract_x
_atom_site_fract_y
_atom_site_fract_z
Pr1 Pr 0.0000 0.0000 0.0000
Nd1 Nd 0.0000 0.0000 0.2282
As1 As 0.0000 0.0000 0.5000
```



It comes down to #P, which is 0.009 eV/atom more stable than the next structure.



#P
The following is a DFT calculation (PBE) of Nd3PuAs4 after structural relaxation.

Computed properties:
The value obtained for the total magnetization is 9.87 μB per cell.

Geometry as CIF:
```
data_Nd3PuAs4
_chemical_formula_sum 'Nd6 Pu2 As8'
_cell_length_a 8.471
_cell_length_b 11.978
_cell_length_c 4.244
_cell_angle_alpha 90.00
_cell_angle_beta 90.00
_cell_angle_gamma 90.00
_symmetry_space_group_name_H-M 'C m m m'
_symmetry_Int_Tables_number 65
_symmetry_space_group_name_Hall '-C 2 2'
loop_
_atom_site_label
_atom_site_type_symbol
_atom_site_fract_x
_atom_site_fract_y
_atom_site_fract_z
Nd1 Nd 0.000 0.000 0.000
Nd2 Nd 0.250 0.250 0.500
Pu1 Pu 0.000 0.500 0.000
As1 As 0.000 0.254 0.000
As2 As 0.242 0.500 0.500
```



#Q
The following is a DFT calculation (PBE) of Nd3PuAs4 after structural relaxation.

Computed properties:
The value obtained for the total magnetization is 4.93 μB per cell.

Geometry as CIF:
```
data_Nd3PuAs4
_chemical_formula_sum 'Nd3 Pu1 As4'
_cell_length_a 5.998
_cell_length_b 5.998
_cell_length_c 5.998
_cell_angle_alpha 90.00
_cell_angle_beta 90.00
_cell_angle_gamma 90.00
_symmetry_space_group_name_H-M 'P m -3 m'
_symmetry_Int_Tables_number 221
_symmetry_space_group_name_Hall '-P 4 2 3'
loop_
_atom_site_label
_atom_site_type_symbol
_atom_site_fract_x
_atom_site_fract_y
_atom_site_fract_z
Nd1 Nd 0.000 0.000 0.500
Pu1 Pu 0.500 0.500 0.500
As1 As 0.000 0.000 0.000
As2 As 0.000 0.500 0.500
```



It comes down to #P, which is 0.008 eV/atom more stable than the next structure.



#P
The following is a DFT calculation (PBE) of Nd2PuAs3 after structural relaxation.

Computed properties:
The value obtained for the total magnetization is 0.11 μB per cell.

Geometry as CIF:
```
data_Nd2PuAs3
_chemical_formula_sum 'Nd4 Pu2 As6'
_cell_length_a 4.203
_cell_length_b 4.203
_cell_length_c 17.759
_cell_angle_alpha 90.00
_cell_angle_beta 90.00
_cell_angle_gamma 90.00
_symmetry_space_group_name_H-M 'I 4/m m m'
_symmetry_Int_Tables_number 139
_symmetry_space_group_name_Hall '-I 4 2'
loop_
_atom_site_label
_atom_site_type_symbol
_atom_site_fract_x
_atom_site_fract_y
_atom_site_fract_z
Nd1 Nd 0.000 0.000 0.168
Pu1 Pu 0.000 0.000 0.500
As1 As 0.000 0.000 0.000
As2 As 0.000 0.000 0.339
```



#Q
The following is a DFT calculation (PBE) of Nd2PuAs3 after structural relaxation.

Computed properties:
The value obtained for the total magnetization is 9.86 μB per cell.

Geometry as CIF:
```
data_Nd2PuAs3
_chemical_formula_sum 'Nd4 Pu2 As6'
_cell_length_a 4.235
_cell_length_b 5.971
_cell_length_c 12.659
_cell_angle_alpha 90.00
_cell_angle_beta 90.00
_cell_angle_gamma 90.00
_symmetry_space_group_name_H-M 'I m m m'
_symmetry_Int_Tables_number 71
_symmetry_space_group_name_Hall '-I 2 2'
loop_
_atom_site_label
_atom_site_type_symbol
_atom_site_fract_x
_atom_site_fract_y
_atom_site_fract_z
Nd1 Nd 0.000 0.000 0.168
Pu1 Pu 0.000 0.000 0.500
As1 As 0.000 0.500 0.160
As2 As 0.000 0.500 0.500
```



It comes down to #Q, which is 0.364 eV/atom more stable than the next structure.



#P
The following is a DFT calculation (PBE) of NdAs3Ru3 after structural relaxation.

Computed properties:
The value obtained for the total magnetization is 0.00 μB per cell.

Geometry as CIF:
```
data_NdAs3Ru3
_chemical_formula_sum 'Nd6 As18 Ru18'
_cell_length_a 6.9397
_cell_length_b 6.9397
_cell_length_c 20.5321
_cell_angle_alpha 90.00
_cell_angle_beta 90.00
_cell_angle_gamma 120.00
_symmetry_space_group_name_H-M 'R -3'
_symmetry_Int_Tables_number 148
_symmetry_space_group_name_Hall '-R 3'
loop_
_atom_site_label
_atom_site_type_symbol
_atom_site_fract_x
_atom_site_fract_y
_atom_site_fract_z
Nd1 Nd 0.0000 0.0000 0.1673
As1 As 0.0094 0.7024 0.5903
Ru1 Ru 0.0115 0.6492 0.3773
```



#Q
The following is a DFT calculation (PBE) of NdAs3Ru3 after structural relaxation.

Computed properties:
The value obtained for the total magnetization is 0.00 μB per cell.

Geometry as CIF:
```
data_NdAs3Ru3
_chemical_formula_sum 'Nd2 As6 Ru6'
_cell_length_a 6.694
_cell_length_b 6.694
_cell_length_c 6.694
_cell_angle_alpha 90.00
_cell_angle_beta 90.00
_cell_angle_gamma 90.00
_symmetry_space_group_name_H-M 'P m -3 n'
_symmetry_Int_Tables_number 223
_symmetry_space_group_name_Hall '-P 4n 2 3'
loop_
_atom_site_label
_atom_site_type_symbol
_atom_site_fract_x
_atom_site_fract_y
_atom_site_fract_z
Nd1 Nd 0.000 0.000 0.000
As1 As 0.000 0.250 0.500
Ru1 Ru 0.000 0.500 0.250
```



It comes down to #P, which is 0.332 eV/atom more stable than the next structure.